1.
Compound: LaLuGa2Pd4
Source: the Open Quantum Materials Database
Functional: PBE-GGA
Structure: relaxed

## Properties
Its volume is 157.0 Å³ per cell. As for the uncorrected energy: -43.22 eV per cell.

a b c (Å): 4.436 4.436 9.214
angles (deg): 90.00 90.00 120.00
Atoms (fractional coordinates):
La (0.000, 0.000, 0.000)
Lu (0.333, 0.667, 0.500)
Ga (0.667, 0.333, 0.264)
Ga (0.667, 0.333, 0.736)
Pd (0.000, 0.000, 0.340)
Pd (0.000, 0.000, 0.660)
Pd (0.333, 0.667, 0.189)
Pd (0.333, 0.667, 0.811)

---

2.
Compound: LaMgGaNi
Source: the Open Quantum Materials Database
Functional: PBE-GGA
Structure: relaxed

## Properties
Its volume is 78.3 Å³ per cell. The calculation puts the offset from the most stable computed form at 70 meV per atom. As for the uncorrected energy: -16.01 eV per cell.

a b c (Å): 4.801 4.801 4.801
angles (deg): 60.00 60.00 60.00
Atoms (fractional coordinates):
La (0.000, 0.000, 0.000)
Mg (0.250, 0.250, 0.250)
Ga (0.500, 0.500, 0.500)
Ni (0.750, 0.750, 0.750)

---

3.
Compound: LaMgGaNi
Source: the Open Quantum Materials Database
Functional: PBE-GGA
Structure: relaxed

## Properties
Its volume is 81.5 Å³ per cell. The calculation puts the offset from the most stable computed form at 0 meV per atom. As for the uncorrected energy: -16.29 eV per cell.

a b c (Å): 4.867 4.867 4.867
angles (deg): 60.00 60.00 60.00
Atoms (fractional coordinates):
La (0.000, 0.000, 0.000)
Mg (0.500, 0.500, 0.500)
Ga (0.250, 0.250, 0.250)
Ni (0.750, 0.750, 0.750)

---

4.
Compound: La2Mg3GaNi2
Source: the Open Quantum Materials Database
Functional: PBE-GGA
Structure: relaxed

## Properties
Its volume is 171.1 Å³ per cell. As for the uncorrected energy: -31.54 eV per cell.

a b c (Å): 5.436 5.436 7.960
angles (deg): 90.52 90.52 46.67
Atoms (fractional coordinates):
La (0.000, 0.000, 0.000)
La (0.113, 0.113, 0.519)
Mg (0.403, 0.403, 0.319)
Mg (0.714, 0.714, 0.209)
Mg (0.715, 0.715, 0.815)
Ga (0.402, 0.402, 0.706)
Ni (0.286, 0.286, 0.998)
Ni (0.845, 0.845, 0.527)

---

5.
Compound: LaMgGaNi
Source: the Open Quantum Materials Database
Functional: PBE-GGA
Structure: relaxed

## Properties
Its volume is 80.4 Å³ per cell. The calculation puts the offset from the most stable computed form at 151 meV per atom. As for the uncorrected energy: -15.69 eV per cell.

a b c (Å): 4.845 4.845 4.845
angles (deg): 60.00 60.00 60.00
Atoms (fractional coordinates):
La (0.000, 0.000, 0.000)
Mg (0.250, 0.250, 0.250)
Ga (0.750, 0.750, 0.750)
Ni (0.500, 0.500, 0.500)

---

6.
Compound: LaMgGaPd
Source: the Open Quantum Materials Database
Functional: PBE-GGA
Structure: relaxed

## Properties
Its volume is 84.0 Å³ per cell. The calculation puts the offset from the most stable computed form at 119 meV per atom. As for the uncorrected energy: -16.55 eV per cell.

a b c (Å): 4.915 4.915 4.915
angles (deg): 60.00 60.00 60.00
Atoms (fractional coordinates):
La (0.000, 0.000, 0.000)
Mg (0.750, 0.750, 0.750)
Ga (0.250, 0.250, 0.250)
Pd (0.500, 0.500, 0.500)